A plane-wave DFT calculation with PBE was carried out for an optimized crystal structure of Zn2HAu2. Values from VASP.

Quantum ESPRESSO input file:
```
&SYSTEM
  ibrav = 0, nat = 5, ntyp = 3
/
ATOMIC_SPECIES
Zn 65.41 Zn.upf
H 1.01 H.upf
Au 196.97 Au.upf
CELL_PARAMETERS angstrom
-1.910 1.910 6.340
1.910 -1.910 6.340
1.910 1.910 -6.340
ATOMIC_POSITIONS crystal
Zn 0.094 0.094 0.000
Zn 0.906 0.906 0.000
H 0.500 0.500 0.000
Au 0.250 0.750 0.500
Au 0.750 0.250 0.500
```

space-group type: No. 139
E_tot: -2.112 eV/atom
M_tot: 0.0000 μB per atom


A plane-wave DFT calculation with PBE was carried out for an optimized crystal structure of Zn2HAu2. Values from VASP.

Quantum ESPRESSO input file:
```
&SYSTEM
  ibrav = 0, nat = 10, ntyp = 3
/
ATOMIC_SPECIES
Zn 65.41 Zn.upf
H 1.01 H.upf
Au 196.97 Au.upf
CELL_PARAMETERS angstrom
5.476 0.000 0.000
0.000 5.476 0.000
0.000 0.000 4.882
ATOMIC_POSITIONS crystal
Zn 0.173 0.327 0.000
Zn 0.327 0.827 0.000
Zn 0.673 0.173 0.000
Zn 0.827 0.673 0.000
H 0.000 0.000 0.000
H 0.500 0.500 0.000
Au 0.176 0.676 0.500
Au 0.324 0.176 0.500
Au 0.676 0.824 0.500
Au 0.824 0.324 0.500
```

space-group type: No. 127
E_tot: -2.361 eV/atom
M_tot: 0.0000 μB per atom


A plane-wave DFT calculation with PBE was carried out for an optimized crystal structure of Zn2H2Au. Values from VASP.

Quantum ESPRESSO input file:
```
&SYSTEM
  ibrav = 0, nat = 10, ntyp = 3
/
ATOMIC_SPECIES
Zn 65.41 Zn.upf
H 1.01 H.upf
Au 196.97 Au.upf
CELL_PARAMETERS angstrom
6.262 0.000 0.000
0.000 6.262 0.000
0.000 0.000 2.850
ATOMIC_POSITIONS crystal
Zn 0.149 0.351 0.000
Zn 0.351 0.851 0.000
Zn 0.649 0.149 0.000
Zn 0.851 0.649 0.000
H 0.123 0.623 0.500
H 0.377 0.123 0.500
H 0.623 0.877 0.500
H 0.877 0.377 0.500
Au 0.000 0.000 0.500
Au 0.500 0.500 0.500
```

space-group type: No. 127
E_tot: -2.098 eV/atom
M_tot: 0.0000 μB per atom


A plane-wave DFT calculation with PBE was carried out for an optimized crystal structure of Zn2H2Au. Values from VASP.

Quantum ESPRESSO input file:
```
&SYSTEM
  ibrav = 0, nat = 5, ntyp = 3
/
ATOMIC_SPECIES
Zn 65.41 Zn.upf
H 1.01 H.upf
Au 196.97 Au.upf
CELL_PARAMETERS angstrom
-1.502 1.502 6.213
1.502 -1.502 6.213
1.502 1.502 -6.213
ATOMIC_POSITIONS crystal
Zn 0.149 0.149 0.000
Zn 0.851 0.851 0.000
H 0.250 0.750 0.500
H 0.750 0.250 0.500
Au 0.500 0.500 0.000
```

space-group type: No. 139
E_tot: -2.297 eV/atom
M_tot: 0.0000 μB per atom


A plane-wave DFT calculation with PBE was carried out for an optimized crystal structure of ZnH2Au. Values from VASP.

Quantum ESPRESSO input file:
```
&SYSTEM
  ibrav = 0, nat = 4, ntyp = 3
/
ATOMIC_SPECIES
Zn 65.41 Zn.upf
H 1.01 H.upf
Au 196.97 Au.upf
CELL_PARAMETERS angstrom
0.000 2.752 2.752
2.752 0.000 2.752
2.752 2.752 0.000
ATOMIC_POSITIONS crystal
Zn 0.000 0.000 0.000
H 0.250 0.250 0.250
H 0.750 0.750 0.750
Au 0.500 0.500 0.500
```

space-group type: No. 225
E_tot: -2.132 eV/atom
M_tot: 0.0000 μB per atom


A plane-wave DFT calculation with PBE was carried out for an optimized crystal structure of Zn2HAu2. Values from VASP.

Quantum ESPRESSO input file:
```
&SYSTEM
  ibrav = 0, nat = 10, ntyp = 3
/
ATOMIC_SPECIES
Zn 65.41 Zn.upf
H 1.01 H.upf
Au 196.97 Au.upf
CELL_PARAMETERS angstrom
5.652 0.000 0.000
0.000 5.652 0.000
0.000 0.000 4.598
ATOMIC_POSITIONS crystal
Zn 0.160 0.340 0.000
Zn 0.340 0.840 0.000
Zn 0.660 0.160 0.000
Zn 0.840 0.660 0.000
H 0.000 0.000 0.500
H 0.500 0.500 0.500
Au 0.177 0.677 0.500
Au 0.323 0.177 0.500
Au 0.677 0.823 0.500
Au 0.823 0.323 0.500
```

space-group type: No. 127
E_tot: -2.380 eV/atom
M_tot: 0.0000 μB per atom


A plane-wave DFT calculation with PBE was carried out for an optimized crystal structure of ZnH2Au. Values from VASP.

Quantum ESPRESSO input file:
```
&SYSTEM
  ibrav = 0, nat = 8, ntyp = 3
/
ATOMIC_SPECIES
Zn 65.41 Zn.upf
H 1.01 H.upf
Au 196.97 Au.upf
CELL_PARAMETERS angstrom
-1.919 1.919 6.071
1.919 -1.919 6.071
1.919 1.919 -6.071
ATOMIC_POSITIONS crystal
Zn 0.000 0.000 0.000
Zn 0.750 0.250 0.500
H 0.169 0.625 0.044
H 0.375 0.419 0.544
H 0.581 0.125 0.956
H 0.875 0.831 0.456
Au 0.250 0.750 0.500
Au 0.500 0.500 0.000
```

space-group type: No. 122
E_tot: -2.483 eV/atom
M_tot: 0.0000 μB per atom


A plane-wave DFT calculation with PBE was carried out for an optimized crystal structure of Zr2ZnHAu. Values from VASP.

Quantum ESPRESSO input file:
```
&SYSTEM
  ibrav = 0, nat = 5, ntyp = 4
/
ATOMIC_SPECIES
Zr 91.22 Zr.upf
Zn 65.41 Zn.upf
H 1.01 H.upf
Au 196.97 Au.upf
CELL_PARAMETERS angstrom
4.320 0.000 0.000
0.000 4.320 0.000
0.000 0.000 4.219
ATOMIC_POSITIONS crystal
Zr 0.000 0.500 0.000
Zr 0.500 0.000 0.000
Zn 0.000 0.000 0.500
H 0.000 0.000 0.000
Au 0.500 0.500 0.500
```

space-group type: No. 123
E_tot: -5.342 eV/atom
M_tot: 0.0000 μB per atom


A plane-wave DFT calculation with PBE was carried out for an optimized crystal structure of Zr2ZnHAu. Values from VASP.

Quantum ESPRESSO input file:
```
&SYSTEM
  ibrav = 0, nat = 5, ntyp = 4
/
ATOMIC_SPECIES
Zr 91.22 Zr.upf
Zn 65.41 Zn.upf
H 1.01 H.upf
Au 196.97 Au.upf
CELL_PARAMETERS angstrom
4.363 0.000 0.000
0.000 4.363 0.000
0.000 0.000 4.186
ATOMIC_POSITIONS crystal
Zr 0.000 0.500 0.000
Zr 0.500 0.000 0.000
Zn 0.000 0.000 0.500
H 0.500 0.500 0.000
Au 0.500 0.500 0.500
```

space-group type: No. 123
E_tot: -5.312 eV/atom
M_tot: 0.0000 μB per atom


A plane-wave DFT calculation with PBE was carried out for an optimized crystal structure of ZrHAu3. Values from VASP.

Quantum ESPRESSO input file:
```
&SYSTEM
  ibrav = 0, nat = 5, ntyp = 3
/
ATOMIC_SPECIES
Zr 91.22 Zr.upf
H 1.01 H.upf
Au 196.97 Au.upf
CELL_PARAMETERS angstrom
5.348 0.000 0.000
0.000 5.348 0.000
0.000 0.000 5.348
ATOMIC_POSITIONS crystal
Zr 0.000 0.000 0.000
H 0.500 0.500 0.500
Au 0.000 0.000 0.500
Au 0.000 0.500 0.000
Au 0.500 0.000 0.000
```

space-group type: No. 221
E_tot: -3.289 eV/atom
M_tot: 0.0565 μB per atom


A plane-wave DFT calculation with PBE was carried out for an optimized crystal structure of Zr3H2Au. Values from VASP.

Quantum ESPRESSO input file:
```
&SYSTEM
  ibrav = 0, nat = 12, ntyp = 3
/
ATOMIC_SPECIES
Zr 91.22 Zr.upf
H 1.01 H.upf
Au 196.97 Au.upf
CELL_PARAMETERS angstrom
10.479 -1.635 0.000
10.479 1.635 0.000
-1.597 0.000 5.618
ATOMIC_POSITIONS crystal
Zr 0.033 0.033 0.289
Zr 0.235 0.235 0.222
Zr 0.398 0.398 0.172
Zr 0.602 0.602 0.828
Zr 0.765 0.765 0.778
Zr 0.967 0.967 0.711
H 0.058 0.058 0.954
H 0.295 0.295 0.000
H 0.705 0.705 0.000
H 0.942 0.942 0.046
Au 0.351 0.351 0.597
Au 0.649 0.649 0.403
```

space-group type: No. 12
E_tot: -6.276 eV/atom
M_tot: 0.0000 μB per atom


A plane-wave DFT calculation with PBE was carried out for an optimized crystal structure of ZrH2Au. Values from VASP.

Quantum ESPRESSO input file:
```
&SYSTEM
  ibrav = 0, nat = 4, ntyp = 3
/
ATOMIC_SPECIES
Zr 91.22 Zr.upf
H 1.01 H.upf
Au 196.97 Au.upf
CELL_PARAMETERS angstrom
0.000 2.847 2.847
2.847 0.000 2.847
2.847 2.847 0.000
ATOMIC_POSITIONS crystal
Zr 0.000 0.000 0.000
H 0.250 0.250 0.250
H 0.750 0.750 0.750
Au 0.500 0.500 0.500
```

space-group type: No. 225
E_tot: -4.672 eV/atom
M_tot: 0.0000 μB per atom